Compound: PuNiO
Source: the Alexandria database
Functional: PBE with a Hubbard U
Structure: optimized geometry

Values from the calculation:
Energy ... -8.42 eV per atom
M_tot ... 5.353 μB per formula unit

CIF file:
```
data_PuNiO
_symmetry_space_group_name_H-M 'C 1 2/m 1'
_symmetry_Int_Tables_number 12
_cell_length_a 18.793
_cell_length_b 3.331
_cell_length_c 7.005
_cell_angle_alpha 90.00
_cell_angle_beta 110.94
_cell_angle_gamma 90.00
loop_
_symmetry_equiv_pos_as_xyz
'x,y,z'
'-x,-y,-z'
'-x,y,-z'
'x,-y,z'
'x+1/2,y+1/2,z'
'-x+1/2,-y+1/2,-z'
'-x+1/2,y+1/2,-z'
'x+1/2,-y+1/2,z'
loop_
_atom_site_label
_atom_site_fract_x
_atom_site_fract_y
_atom_site_fract_z
Pu1 0.088 0.000 0.457
Pu2 0.117 0.000 0.014
Ni1 0.219 0.500 0.850
Ni2 0.237 0.500 0.360
O1 0.038 0.000 0.704
O2 0.096 0.500 0.219
```